1) Compound: Sc2OsI
Source: Alexandria via LeMat-Bulk
Functional: PBE-GGA
Structure: optimized geometry

abc: 8.5802 8.5802 8.5802
angles: 26.86 26.86 26.86
Fractional positions:
1 Sc 0.1153 0.1153 0.1153
2 Sc 0.8847 0.8847 0.8847
3 Os 0.5000 0.5000 0.5000
4 I 0.0000 0.0000 0.0000

## Properties
mass density: 5.944 g cm⁻³
N(E_F): 0.83 states/eV per atom

***

2) Compound: Sc2OsI
Source: Alexandria via LeMat-Bulk
Functional: PBE-GGA
Structure: optimized geometry

abc: 9.7434 9.7434 9.7434
angles: 19.70 19.70 19.70
Fractional positions:
1 Sc 0.0834 0.0834 0.0834
2 Sc 0.9166 0.9166 0.9166
3 Os 0.0000 0.0000 0.0000
4 I 0.5000 0.5000 0.5000

## Properties
mass density: 7.350 g cm⁻³
N(E_F): 0.98 states/eV per atom

***

What is the stability order? It is 1), 2), from most stable to least stable.

***

1) Compound: ScOsI3
Source: Alexandria via LeMat-Bulk
Functional: PBE-GGA
Structure: optimized geometry

abc: 5.3425 5.3425 5.3425
angles: 90.00 90.00 90.00
Fractional positions:
1 Sc 0.0000 0.0000 0.0000
2 Os 0.5000 0.5000 0.5000
3 I 0.0000 0.5000 0.5000
4 I 0.5000 0.0000 0.5000
5 I 0.5000 0.5000 0.0000

## Properties
mass density: 6.707 g cm⁻³
N(E_F): 1.32 states/eV per atom

***

2) Compound: ScOsI3
Source: Alexandria via LeMat-Bulk
Functional: PBE-GGA
Structure: optimized geometry

abc: 5.7160 5.7160 5.7160
angles: 90.00 90.00 90.00
Fractional positions:
1 Sc 0.0000 0.0000 0.0000
2 Os 0.5000 0.5000 0.5000
3 I 0.0000 0.0000 0.5000
4 I 0.0000 0.5000 0.0000
5 I 0.5000 0.0000 0.0000

## Properties
mass density: 5.476 g cm⁻³
N(E_F): 2.54 states/eV per atom

***

What is the stability order? It is 1), 2), from most stable to least stable.

***

1) Compound: Os2SeI
Source: Alexandria via LeMat-Bulk
Functional: PBE-GGA
Structure: optimized geometry

abc: 4.6124 4.6124 4.6124
angles: 60.00 60.00 60.00
Fractional positions:
1 Os 0.2500 0.2500 0.2500
2 Os 0.7500 0.7500 0.7500
3 Se 0.0000 0.0000 0.0000
4 I 0.5000 0.5000 0.5000

## Properties
mass density: 14.032 g cm⁻³
N(E_F): 1.34 states/eV per atom

***

2) Compound: Os2SeI
Source: Alexandria via LeMat-Bulk
Functional: PBE-GGA
Structure: optimized geometry

abc: 8.5023 8.5023 8.5023
angles: 148.58 148.58 45.03
Fractional positions:
1 Os 0.0396 0.6250 0.9146
2 Os 0.3750 0.2896 0.4146
3 Os 0.7104 0.1250 0.0854
4 Os 0.8750 0.9604 0.5854
5 Se 0.0000 0.0000 0.0000
6 Se 0.7500 0.2500 0.5000
7 I 0.2500 0.7500 0.5000
8 I 0.5000 0.5000 0.0000

## Properties
mass density: 11.695 g cm⁻³
N(E_F): 0.56 states/eV per atom

***

What is the stability order? It is 2), 1), from most stable to least stable.

***

1) Compound: OsSe2I
Source: Alexandria via LeMat-Bulk
Functional: PBE-GGA
Structure: optimized geometry

abc: 13.1920 13.1920 13.1920
angles: 13.15 13.15 13.15
Fractional positions:
1 Os 0.0000 0.0000 0.0000
2 Se 0.0605 0.0605 0.0605
3 Se 0.9395 0.9395 0.9395
4 I 0.5000 0.5000 0.5000

## Properties
mass density: 7.633 g cm⁻³
N(E_F): 1.07 states/eV per atom

***

2) Compound: OsSe2I
Source: Alexandria via LeMat-Bulk
Functional: PBE-GGA
Structure: optimized geometry

abc: 4.8243 4.8243 4.8243
angles: 60.00 60.00 60.00
Fractional positions:
1 Os 0.0000 0.0000 0.0000
2 Se 0.2500 0.2500 0.2500
3 Se 0.7500 0.7500 0.7500
4 I 0.5000 0.5000 0.5000

## Properties
mass density: 9.936 g cm⁻³
N(E_F): 1.14 states/eV per atom

***

What is the stability order? It is 1), 2), from most stable to least stable.

***

1) Compound: OsSeI3
Source: Alexandria via LeMat-Bulk
Functional: PBE-GGA
Structure: optimized geometry

abc: 5.7226 5.7226 5.7226
angles: 90.00 90.00 90.00
Fractional positions:
1 Os 0.0000 0.0000 0.0000
2 Se 0.5000 0.5000 0.5000
3 I 0.0000 0.5000 0.5000
4 I 0.5000 0.0000 0.5000
5 I 0.5000 0.5000 0.0000

## Properties
mass density: 5.759 g cm⁻³
N(E_F): 2.56 states/eV per atom

***

2) Compound: OsSeI3
Source: Alexandria via LeMat-Bulk
Functional: PBE-GGA
Structure: optimized geometry

abc: 5.3479 5.3479 5.3479
angles: 90.00 90.00 90.00
Fractional positions:
1 Os 0.0000 0.0000 0.0000
2 Se 0.5000 0.5000 0.5000
3 I 0.0000 0.0000 0.5000
4 I 0.0000 0.5000 0.0000
5 I 0.5000 0.0000 0.0000

## Properties
mass density: 7.056 g cm⁻³
N(E_F): 1.38 states/eV per atom

***

What is the stability order? It is 2), 1), from most stable to least stable.

***

1) Compound: SiOsI3
Source: Alexandria via LeMat-Bulk
Functional: PBE-GGA
Structure: optimized geometry

abc: 5.5772 5.5772 5.5772
angles: 90.00 90.00 90.00
Fractional positions:
1 Si 0.0000 0.0000 0.0000
2 Os 0.5000 0.5000 0.5000
3 I 0.0000 0.0000 0.5000
4 I 0.0000 0.5000 0.0000
5 I 0.5000 0.0000 0.0000

## Properties
mass density: 5.734 g cm⁻³
N(E_F): 3.45 states/eV per atom

***

2) Compound: SiOsI3
Source: Alexandria via LeMat-Bulk
Functional: PBE-GGA
Structure: optimized geometry

abc: 5.3543 5.3543 5.3543
angles: 90.00 90.00 90.00
Fractional positions:
1 Si 0.0000 0.0000 0.0000
2 Os 0.5000 0.5000 0.5000
3 I 0.0000 0.5000 0.5000
4 I 0.5000 0.0000 0.5000
5 I 0.5000 0.5000 0.0000

## Properties
mass density: 6.480 g cm⁻³
N(E_F): 1.20 states/eV per atom

***

What is the stability order? It is 2), 1), from most stable to least stable.

***

1) Compound: SiOs2I
Source: Alexandria via LeMat-Bulk
Functional: PBE-GGA
Structure: optimized geometry

abc: 7.0575 7.0575 7.0575
angles: 134.56 134.56 66.22
Fractional positions:
1 Si 0.0000 0.0000 0.0000
2 Si 0.7500 0.2500 0.5000
3 Os 0.0836 0.6250 0.9586
4 Os 0.3750 0.3336 0.4586
5 Os 0.6664 0.1250 0.0414
6 Os 0.8750 0.9164 0.5414
7 I 0.2500 0.7500 0.5000
8 I 0.5000 0.5000 0.0000

## Properties
mass density: 10.121 g cm⁻³
N(E_F): 0.38 states/eV per atom

***

2) Compound: SiOs2I
Source: Alexandria via LeMat-Bulk
Functional: PBE-GGA
Structure: optimized geometry

abc: 4.5018 4.5018 4.5018
angles: 60.00 60.00 60.00
Fractional positions:
1 Si 0.0000 0.0000 0.0000
2 Os 0.2500 0.2500 0.2500
3 Os 0.7500 0.7500 0.7500
4 I 0.5000 0.5000 0.5000

## Properties
mass density: 13.782 g cm⁻³
N(E_F): 0.93 states/eV per atom

***

What is the stability order? It is 1), 2), from most stable to least stable.

***

1) Compound: SiTe2OsI
Source: Alexandria via LeMat-Bulk
Functional: PBE-GGA
Structure: optimized geometry

abc: 5.1532 5.1532 5.5428
angles: 90.00 90.00 90.00
Fractional positions:
1 Si 0.0000 0.0000 0.0000
2 Te 0.0000 0.5000 0.5000
3 Te 0.5000 0.0000 0.5000
4 Os 0.5000 0.5000 0.5000
5 I 0.5000 0.5000 0.0000

## Properties
mass density: 6.774 g cm⁻³
N(E_F): 1.50 states/eV per atom

***

2) Compound: SiTe2OsI
Source: Alexandria via LeMat-Bulk
Functional: PBE-GGA
Structure: optimized geometry

abc: 5.2538 5.2538 5.3182
angles: 90.00 90.00 90.00
Fractional positions:
1 Si 0.0000 0.0000 0.0000
2 Te 0.0000 0.5000 0.0000
3 Te 0.5000 0.0000 0.0000
4 Os 0.5000 0.5000 0.5000
5 I 0.0000 0.0000 0.5000

## Properties
mass density: 6.792 g cm⁻³
N(E_F): 1.08 states/eV per atom

***

What is the stability order? It is 1), 2), from most stable to least stable.

***

1) Compound: Sm3OsI
Source: Alexandria via LeMat-Bulk
Functional: PBE-GGA
Structure: optimized geometry

abc: 7.9046 7.9046 10.3117
angles: 106.32 106.32 29.22
Fractional positions:
1 Sm 0.0270 0.0270 0.3556
2 Sm 0.2350 0.2350 0.6431
3 Sm 0.3435 0.3435 0.1219
4 Sm 0.6565 0.6565 0.8781
5 Sm 0.7650 0.7650 0.3569
6 Sm 0.9730 0.9730 0.6444
7 Os 0.4034 0.4034 0.4205
8 Os 0.5966 0.5966 0.5795
9 I 0.1239 0.1239 0.1154
10 I 0.8761 0.8761 0.8846

## Properties
mass density: 8.477 g cm⁻³
N(E_F): 0.58 states/eV per atom

***

2) Compound: Sm3OsI
Source: Alexandria via LeMat-Bulk
Functional: PBE-GGA
Structure: optimized geometry

abc: 4.2407 7.2696 10.0121
angles: 90.00 90.00 90.00
Fractional positions:
1 Sm 0.2500 0.0010 0.1412
2 Sm 0.2500 0.4990 0.1412
3 Sm 0.2500 0.7500 0.6211
4 Sm 0.7500 0.2500 0.3789
5 Sm 0.7500 0.5010 0.8588
6 Sm 0.7500 0.9990 0.8588
7 Os 0.2500 0.7500 0.9017
8 Os 0.7500 0.2500 0.0983
9 I 0.2500 0.2500 0.6391
10 I 0.7500 0.7500 0.3609

## Properties
mass density: 8.266 g cm⁻³
N(E_F): 0.62 states/eV per atom

***

What is the stability order? It is 1), 2), from most stable to least stable.

***

1) Compound: Sn2OsI
Source: Alexandria via LeMat-Bulk
Functional: PBE-GGA
Structure: optimized geometry

abc: 5.1396 5.1396 5.1396
angles: 60.00 60.00 60.00
Fractional positions:
1 Sn 0.2500 0.2500 0.2500
2 Sn 0.7500 0.7500 0.7500
3 Os 0.0000 0.0000 0.0000
4 I 0.5000 0.5000 0.5000

## Properties
mass density: 9.592 g cm⁻³
N(E_F): 0.85 states/eV per atom

***

2) Compound: Sn2OsI
Source: Alexandria via LeMat-Bulk
Functional: PBE-GGA
Structure: optimized geometry

abc: 8.0651 8.0651 8.0651
angles: 131.23 131.23 71.45
Fractional positions:
1 Sn 0.0226 0.6250 0.8976
2 Sn 0.3750 0.2726 0.3976
3 Sn 0.7274 0.1250 0.1024
4 Sn 0.8750 0.9774 0.6024
5 Os 0.0000 0.0000 0.0000
6 Os 0.7500 0.2500 0.5000
7 I 0.2500 0.7500 0.5000
8 I 0.5000 0.5000 0.0000

## Properties
mass density: 6.343 g cm⁻³
N(E_F): 0.64 states/eV per atom

***

What is the stability order? It is 2), 1), from most stable to least stable.

***

1) Compound: SnOsI2
Source: Alexandria via LeMat-Bulk
Functional: PBE-GGA
Structure: optimized geometry

abc: 7.3731 7.3731 7.3731
angles: 97.23 97.23 138.45
Fractional positions:
1 Sn 0.0000 0.0000 0.0000
2 Sn 0.7500 0.2500 0.5000
3 Os 0.2500 0.7500 0.5000
4 Os 0.5000 0.5000 0.0000
5 I 0.2635 0.6250 0.1385
6 I 0.3750 0.5135 0.6385
7 I 0.4865 0.1250 0.8615
8 I 0.8750 0.7365 0.3615

## Properties
mass density: 7.519 g cm⁻³
N(E_F): 0.01 states/eV per atom

***

2) Compound: SnOsI2
Source: Alexandria via LeMat-Bulk
Functional: PBE-GGA
Structure: optimized geometry

abc: 5.2522 5.2522 5.2522
angles: 60.00 60.00 60.00
Fractional positions:
1 Sn 0.0000 0.0000 0.0000
2 Os 0.5000 0.5000 0.5000
3 I 0.2500 0.2500 0.2500
4 I 0.7500 0.7500 0.7500

## Properties
mass density: 9.121 g cm⁻³
N(E_F): 1.02 states/eV per atom

***

What is the stability order? It is 1), 2), from most stable to least stable.

***

1) Compound: Sr2OsI
Source: Alexandria via LeMat-Bulk
Functional: PBE-GGA
Structure: optimized geometry

abc: 5.4904 5.4904 5.4904
angles: 60.00 60.00 60.00
Fractional positions:
1 Sr 0.2500 0.2500 0.2500
2 Sr 0.7500 0.7500 0.7500
3 Os 0.0000 0.0000 0.0000
4 I 0.5000 0.5000 0.5000

## Properties
mass density: 6.986 g cm⁻³
N(E_F): 0.87 states/eV per atom

***

2) Compound: Sr2OsI
Source: Alexandria via LeMat-Bulk
Functional: PBE-GGA
Structure: optimized geometry

abc: 7.1594 7.1594 7.1594
angles: 108.53 108.53 111.38
Fractional positions:
1 Sr 0.0809 0.1250 0.4559
2 Sr 0.3750 0.9191 0.0441
3 Sr 0.6691 0.6250 0.5441
4 Sr 0.8750 0.3309 0.9559
5 Os 0.0000 0.0000 0.0000
6 Os 0.7500 0.2500 0.5000
7 I 0.2500 0.7500 0.5000
8 I 0.5000 0.5000 0.0000

## Properties
mass density: 5.793 g cm⁻³
N(E_F): 0.42 states/eV per atom

***

What is the stability order? It is 1), 2), from most stable to least stable.